Compound: CaAcHgPb
Source: Alexandria
Functional: PBE-GGA
Structure: optimized geometry

DOS at the Fermi energy, states/eV per cell: 13.5
ΔE_f, meV/atom: -540

Unit cell a=8.0155 b=8.0155 c=8.0155 alpha=90.00 beta=90.00 gamma=90.00
Space group F-43m (No. 216)
Symmetry-distinct sites (fractional):
Ca  0.0000  0.0000  0.0000 (multiplicity 4)
Ac  0.0000  0.0000  0.5000 (multiplicity 4)
Hg  0.2500  0.2500  0.7500 (multiplicity 4)
Pb  0.2500  0.2500  0.2500 (multiplicity 4)